# ThCu6Pd6

A relaxed structure of ThCu6Pd6 (PBE, the Open Quantum Materials Database).

abc: 6.684 6.684 6.684
angles: 135.53 99.77 96.70
Fractional positions:
1 Cu 0.500 0.000 0.000
2 Cu 0.000 0.500 0.000
3 Cu 0.000 0.000 0.500
4 Cu 0.760 0.260 0.500
5 Cu 0.500 0.500 0.500
6 Cu 0.240 0.740 0.500
7 Pd 0.346 0.346 0.000
8 Pd 0.654 0.654 0.000
9 Pd 0.810 0.500 0.310
10 Pd 0.340 0.000 0.340
11 Pd 0.660 0.000 0.660
12 Pd 0.190 0.500 0.690
13 Th 0.000 0.000 0.000

Properties
Formation enthalpy at 0 K   -0.374 eV per atom